[1]
This record from Alexandria via LeMat-Bulk describes a relaxed structure of Hf4OsPd. The functional is GGA-PBE.

- Energy above the lowest structure with this stoichiometry: 0.221 eV/atom
- Calculated total energy: -9.614 eV/atom
- Volume: 22.10 A^3/atom

a = 4.5434 Å, b = 4.5434 Å, c = 6.4231 Å
α = 90.00°, β = 90.00°, γ = 90.00°
With the nearest neighbours (Å) after each atom.
Space group P4/mmm (No. 123)
Unique sites:
Hf1 0.0000 0.5000 0.2427 [4 per cell]  2 Os 2.75, 2 Pd 2.81
Os1 0.0000 0.0000 0.0000 [1 per cell]  8 Hf 2.75
Pd1 0.5000 0.5000 0.5000 [1 per cell]  8 Hf 2.81


[2]
This record from Alexandria via LeMat-Bulk describes a relaxed structure of Hf6OsPd3. The functional is GGA-PBE.

- Calculated total energy: -8.932 eV/atom
- Volume: 20.25 A^3/atom

a = 5.3092 Å, b = 8.1928 Å, c = 10.6874 Å
α = 90.00°, β = 119.43°, γ = 90.00°
With the nearest neighbours (Å) after each atom.
Space group P2_1/c (No. 14)
Unique sites:
Hf1 0.0160 0.1851 0.4387 [4 per cell]  1 Os 2.67, 3 Pd 2.77-2.92
Hf2 0.3525 0.6696 0.4365 [4 per cell]  1 Os 2.67, 3 Pd 2.81-2.89
Hf3 0.3566 0.1200 0.2465 [4 per cell]  1 Os 2.57, 2 Pd 2.62-2.81
Os1 0.0000 0.0000 0.0000 [2 per cell]  6 Hf 2.57-2.67
Pd1 0.0700 0.0893 0.7421 [4 per cell]  6 Hf 2.81-2.92, 1 Pd 2.95, 1 Os 3.05
Pd2 0.5000 0.0000 0.5000 [2 per cell]  6 Hf 2.62-2.81


[3]
This record from Alexandria via LeMat-Bulk describes a relaxed structure of HfOsPd3. The functional is GGA-PBE.

- Energy above the lowest structure with this stoichiometry: 0.000 eV/atom
- Calculated total energy: -6.205 eV/atom
- Volume: 21.60 A^3/atom

a = 4.7626 Å, b = 4.7626 Å, c = 4.7626 Å
α = 90.00°, β = 90.00°, γ = 90.00°
With the nearest neighbours (Å) after each atom.
Space group Pm-3m (No. 221)
Unique sites:
Hf1 0.0000 0.0000 0.0000 [1 per cell]  12 Pd 3.37
Os1 0.5000 0.5000 0.5000 [1 per cell]  6 Pd 2.38
Pd1 0.0000 0.5000 0.5000 [3 per cell]  2 Os 2.38


[4]
This record from Alexandria via LeMat-Bulk describes a relaxed structure of Hf4Os3Pd. The functional is GGA-PBE.

- Calculated total energy: -10.519 eV/atom
- Volume: 17.58 A^3/atom

a = 3.2137 Å, b = 3.2137 Å, c = 13.6206 Å
α = 90.00°, β = 90.00°, γ = 90.00°
With the nearest neighbours (Å) after each atom.
Space group P4/mmm (No. 123)
Unique sites:
Hf1 0.0000 0.0000 0.1213 [2 per cell]  8 Os 2.81-2.83
Hf2 0.0000 0.0000 0.3655 [2 per cell]  4 Os 2.80, 4 Pd 2.92
Os1 0.5000 0.5000 0.0000 [1 per cell]  8 Hf 2.81
Os2 0.5000 0.5000 0.2454 [2 per cell]  8 Hf 2.80-2.83
Pd1 0.5000 0.5000 0.5000 [1 per cell]  8 Hf 2.92, 4 Pd 3.21


[5]
This record from Alexandria via LeMat-Bulk describes a relaxed structure of Hf3OsPd. The functional is GGA-PBE.

- Energy above the lowest structure with this stoichiometry: 0.000 eV/atom
- Calculated total energy: -8.851 eV/atom
- Volume: 24.59 A^3/atom

a = 4.9728 Å, b = 4.9728 Å, c = 4.9728 Å
α = 90.00°, β = 90.00°, γ = 90.00°
With the nearest neighbours (Å) after each atom.
Space group Pm-3m (No. 221)
Unique sites:
Hf1 0.0000 0.0000 0.5000 [3 per cell]  2 Os 2.49
Os1 0.0000 0.0000 0.0000 [1 per cell]  6 Hf 2.49
Pd1 0.5000 0.5000 0.5000 [1 per cell]  12 Hf 3.52


[6]
This record from Alexandria via LeMat-Bulk describes a relaxed structure of HfOsPd. The functional is GGA-PBE.

- Calculated total energy: -9.004 eV/atom
- Volume: 17.15 A^3/atom

a = 8.4183 Å, b = 4.6958 Å, c = 5.3098 Å
α = 90.00°, β = 101.31°, γ = 90.00°
With the nearest neighbours (Å) after each atom.
Space group C2/m (No. 12)
Unique sites:
Hf1 0.1445 0.0000 0.3410 [4 per cell]  5 Os 2.69-2.97, 3 Pd 2.76-2.90
Os1 0.2026 0.0000 0.8569 [4 per cell]  5 Hf 2.69-2.97, 4 Pd 2.74-2.90, 2 Os 2.83
Pd1 0.0287 0.5000 0.7575 [4 per cell]  2 Pd 2.68-2.71, 4 Os 2.74-2.90, 3 Hf 2.76-2.90